# RbHgSeBr2 | the Alexandria database | PBE | optimized geometry
data_RbHgSeBr2
_symmetry_space_group_name_H-M 'P 1'
_symmetry_Int_Tables_number 1
_symmetry_space_group_name_Hall 'P 1'
_cell_length_a 5.8106
_cell_length_b 5.8106
_cell_length_c 5.2812
_cell_angle_alpha 90.00
_cell_angle_beta 90.00
_cell_angle_gamma 90.00
loop_
_atom_site_label
_atom_site_fract_x
_atom_site_fract_y
_atom_site_fract_z
Br1 0.0000 0.5000 0.0000
Br2 0.5000 0.0000 0.0000
Se1 0.0000 0.0000 0.5000
Hg1 0.0000 0.0000 0.0000
Rb1 0.5000 0.5000 0.5000
# offset from the most stable computed form: 0.000 eV/atom
# uncorrected energy: -11.00 eV per formula unit
# formation energy from raw total energies: -0.579 eV per atom